# 1
First-principles (GGA-PBE) data for crystalline ZrPN at its relaxed geometry, as listed in Alexandria.

Unit cell a=4.675 b=4.706 c=4.730 alpha=119.04 beta=106.87 gamma=90.13
Positions (direct):
Zr1 0.000 0.000 0.000
Zr2 0.498 0.464 0.921
P1 0.256 0.706 0.405
P2 0.920 0.330 0.648
N1 0.461 0.921 0.834
N2 0.891 0.701 0.374

Values from the calculation:
* formation energy without anion corrections: -0.83 eV/atom
* DOS at the Fermi energy: 0.10 states/eV/f.u.
* E: -8.256 eV per atom
* ΔE to the lowest computed polymorph: 238 meV/atom
* total moment: 0.0000 μB/atom



# 2
First-principles (GGA-PBE) data for crystalline ZrPN at its relaxed geometry, as listed in Alexandria.

Unit cell a=4.694 b=4.694 c=6.685 alpha=118.33 beta=118.33 gamma=43.82
Positions (direct):
Zr1 0.000 0.000 0.000
Zr2 0.562 0.562 0.587
P1 0.254 0.254 0.908
P2 0.786 0.786 0.311
N1 0.848 0.848 0.594
N2 0.987 0.987 0.328

Values from the calculation:
* formation energy without anion corrections: -0.86 eV/atom
* DOS at the Fermi energy: 0.62 states/eV/f.u.
* E: -8.286 eV per atom
* ΔE to the lowest computed polymorph: 208 meV/atom
* total moment: 0.0000 μB/atom



# 3
First-principles (GGA-PBE) data for crystalline ZrPN at its relaxed geometry, as listed in Alexandria.

Unit cell a=3.367 b=4.436 c=5.859 alpha=79.41 beta=88.80 gamma=87.85
Positions (direct):
Zr1 0.000 0.000 0.000
Zr2 0.066 0.589 0.533
P1 0.437 0.398 0.129
P2 0.558 0.077 0.635
N1 0.134 0.531 0.905
N2 0.537 0.708 0.243

Values from the calculation:
* formation energy without anion corrections: -0.82 eV/atom
* DOS at the Fermi energy: 0.40 states/eV/f.u.
* E: -8.249 eV per atom
* ΔE to the lowest computed polymorph: 245 meV/atom
* total moment: 0.0000 μB/atom



# 4
First-principles (GGA-PBE) data for crystalline Zr5P2N at its relaxed geometry, as listed in Alexandria.

Unit cell a=5.659 b=5.659 c=11.894 alpha=90.00 beta=90.00 gamma=126.67
Positions (direct):
Zr1 0.057 0.943 0.625
Zr2 0.057 0.943 0.875
Zr3 0.295 0.705 0.250
Zr4 0.371 0.629 0.613
Zr5 0.371 0.629 0.887
Zr6 0.629 0.371 0.113
Zr7 0.629 0.371 0.387
Zr8 0.705 0.295 0.750
Zr9 0.943 0.057 0.125
Zr10 0.943 0.057 0.375
P1 0.188 0.812 0.054
P2 0.188 0.812 0.446
P3 0.812 0.188 0.554
P4 0.812 0.188 0.946
N1 0.223 0.777 0.750
N2 0.777 0.223 0.250

Values from the calculation:
* formation energy without anion corrections: -0.92 eV/atom
* DOS at the Fermi energy: 3.03 states/eV/f.u.
* E: -8.652 eV per atom
* total moment: 0.0000 μB/atom



# 5
First-principles (GGA-PBE) data for crystalline ZrPN at its relaxed geometry, as listed in Alexandria.

Unit cell a=3.603 b=3.603 c=4.201 alpha=90.00 beta=90.00 gamma=120.00
Positions (direct):
Zr1 0.000 0.000 0.000
P1 0.667 0.333 0.395
N1 0.667 0.333 0.805

Values from the calculation:
* formation energy without anion corrections: -0.88 eV/atom
* DOS at the Fermi energy: 0.25 states/eV/f.u.
* E: -8.306 eV per atom
* ΔE to the lowest computed polymorph: 188 meV/atom
* total moment: 0.0000 μB/atom



# 6
First-principles (GGA-PBE) data for crystalline Zr3P2N at its relaxed geometry, as listed in Alexandria.

Unit cell a=5.986 b=5.986 c=5.792 alpha=90.00 beta=90.00 gamma=76.10
Positions (direct):
Zr1 0.142 0.858 0.750
Zr2 0.330 0.330 0.000
Zr3 0.330 0.330 0.500
Zr4 0.670 0.670 0.000
Zr5 0.670 0.670 0.500
Zr6 0.858 0.142 0.250
P1 0.049 0.677 0.250
P2 0.323 0.951 0.250
P3 0.677 0.049 0.750
P4 0.951 0.323 0.750
N1 0.433 0.567 0.750
N2 0.567 0.433 0.250

Values from the calculation:
* formation energy without anion corrections: -1.09 eV/atom
* DOS at the Fermi energy: 3.03 states/eV/f.u.
* E: -8.559 eV per atom
* total moment: 0.0000 μB/atom



# 7
First-principles (GGA-PBE) data for crystalline ZrPN3 at its relaxed geometry, as listed in Alexandria.

Unit cell a=6.676 b=6.676 c=5.277 alpha=101.10 beta=101.10 gamma=84.26
Positions (direct):
Zr1 0.104 0.896 0.750
Zr2 0.327 0.673 0.250
Zr3 0.673 0.327 0.750
Zr4 0.896 0.104 0.250
P1 0.198 0.382 0.746
P2 0.382 0.198 0.246
P3 0.618 0.802 0.754
P4 0.802 0.618 0.254
N1 0.018 0.225 0.657
N2 0.130 0.612 0.866
N3 0.225 0.018 0.157
N4 0.326 0.387 0.497
N5 0.387 0.326 0.997
N6 0.388 0.870 0.634
N7 0.612 0.130 0.366
N8 0.613 0.674 0.003
N9 0.674 0.613 0.503
N10 0.775 0.982 0.843
N11 0.870 0.388 0.134
N12 0.982 0.775 0.343

Values from the calculation:
* formation energy without anion corrections: -0.95 eV/atom
* DOS at the Fermi energy: 0.00 states/eV/f.u.
* E: -8.742 eV per atom
* total moment: 0.0000 μB/atom



# 8
First-principles (GGA-PBE) data for crystalline ZrPN at its relaxed geometry, as listed in Alexandria.

Unit cell a=14.911 b=3.259 c=3.259 alpha=90.00 beta=90.00 gamma=90.00
Positions (direct):
Zr1 0.165 0.250 0.249
Zr2 0.335 0.750 0.749
Zr3 0.665 0.250 0.251
Zr4 0.835 0.750 0.751
P1 0.000 0.250 0.750
P2 0.000 0.750 0.250
P3 0.500 0.250 0.750
P4 0.500 0.750 0.250
N1 0.189 0.750 0.749
N2 0.311 0.250 0.249
N3 0.689 0.750 0.751
N4 0.811 0.250 0.251

Values from the calculation:
* formation energy without anion corrections: -1.07 eV/atom
* DOS at the Fermi energy: 0.81 states/eV/f.u.
* E: -8.494 eV per atom
* ΔE to the lowest computed polymorph: 0 meV/atom
* total moment: 0.0000 μB/atom



# 9
First-principles (GGA-PBE) data for crystalline ZrPN3 at its relaxed geometry, as listed in Alexandria.

Unit cell a=4.225 b=4.225 c=4.225 alpha=90.00 beta=90.00 gamma=90.00
Positions (direct):
Zr1 0.000 0.000 0.000
P1 0.500 0.500 0.500
N1 0.000 0.000 0.500
N2 0.000 0.500 0.000
N3 0.500 0.000 0.000

Values from the calculation:
* formation energy without anion corrections: 1.32 eV/atom
* DOS at the Fermi energy: 2.06 states/eV/f.u.
* E: -6.465 eV per atom
* total moment: 0.4008 μB/atom



# 10
First-principles (GGA-PBE) data for crystalline ZrPN at its relaxed geometry, as listed in Alexandria.

Unit cell a=3.569 b=3.569 c=4.818 alpha=113.17 beta=113.17 gamma=59.11
Positions (direct):
Zr1 0.000 0.000 0.000
P1 0.518 0.518 0.607
N1 0.402 0.402 0.208

Values from the calculation:
* formation energy without anion corrections: -0.82 eV/atom
* DOS at the Fermi energy: 0.72 states/eV/f.u.
* E: -8.247 eV per atom
* ΔE to the lowest computed polymorph: 247 meV/atom
* total moment: 0.0000 μB/atom



# 11
First-principles (GGA-PBE) data for crystalline ZrPN at its relaxed geometry, as listed in Alexandria.

Unit cell a=3.325 b=3.384 c=7.638 alpha=77.48 beta=80.74 gamma=88.37
Positions (direct):
Zr1 0.000 0.000 0.000
Zr2 0.158 0.705 0.565
P1 0.558 0.578 0.842
P2 0.655 0.374 0.264
N1 0.381 0.801 0.240
N2 0.703 0.237 0.482

Values from the calculation:
* formation energy without anion corrections: -0.88 eV/atom
* DOS at the Fermi energy: 1.21 states/eV/f.u.
* E: -8.306 eV per atom
* ΔE to the lowest computed polymorph: 188 meV/atom
* total moment: 0.0000 μB/atom